Compound: Ac2InAgSe5
Source: Alexandria via LeMat-Bulk
Functional: PBE
Structure: optimized geometry

## Properties
Symmetry: Cmc2_1
DFT total energy in eV for the cell shown: -85.7
E_form (uncorrected) in eV per atom: -1.291

Cell: 9.549 9.549 12.229 Å, 90.00 90.00 153.63°
Sites, in units of the cell vectors:
Ac1 0.117 0.883 0.500
Ac2 0.127 0.873 0.880
Ac3 0.873 0.127 0.380
Ac4 0.883 0.117 0.000
In1 0.411 0.589 0.673
In2 0.589 0.411 0.173
Ag1 0.231 0.769 0.227
Ag2 0.769 0.231 0.727
Se1 0.033 0.967 0.263
Se2 0.299 0.701 0.538
Se3 0.305 0.695 0.855
Se4 0.369 0.631 0.192
Se5 0.487 0.513 0.479
Se6 0.513 0.487 0.979
Se7 0.631 0.369 0.692
Se8 0.695 0.305 0.355
Se9 0.701 0.299 0.038
Se10 0.967 0.033 0.763